(1)
Computed, not measured: a relaxed HoCrGe2 crystal at the PBE level of DFT.

The structure belongs to space group R-3m (No. 166, hexagonal axes); the cell edges are 4.7619, 4.7619 and 19.4826 Å and the angles 90.00°, 90.00° and 120.00°. The inequivalent atoms are Ho at (0.0000, 0.0000, 0.0000), Cr at (0.0000, 0.0000, 0.5000) and Ge at (0.0000, 0.0000, 0.3720).

As for the formation energy: 644 meV per atom. The calculation puts the mass density at 4.72 g/cm3.

---

(2)
Computed, not measured: a relaxed PrNi4Pt8 crystal at the PBE level of DFT.

The structure belongs to space group R-3m (No. 166, hexagonal axes); the cell edges are 7.6268, 7.6268 and 14.4987 Å and the angles 90.00°, 90.00° and 120.00°. The inequivalent atoms are Pr at (0.0000, 0.0000, 0.0000), Ni at (0.0000, 0.0000, 0.5000), Ni at (0.0000, 0.5000, 0.0000), Pt at (0.0000, 0.0000, 0.2933) and Pt at (0.0633, 0.5317, 0.8244).

As for the formation energy: 299 meV per atom. The calculation puts the mass density at 13.21 g/cm3.

---

(3)
Computed, not measured: a relaxed Tl2CdAsCl6 crystal at the PBE level of DFT.

The structure belongs to space group P-1 (No. 2); the cell edges are 7.413, 7.442 and 7.442 Å and the angles 90.15°, 119.81° and 119.78°. The inequivalent atoms are Tl at (0.000, 0.249, 0.250), Cd at (0.500, 0.500, 0.000), As at (0.500, 0.000, 0.500), Cl at (0.015, 0.759, 0.258), Cl at (0.500, 0.242, 0.258) and Cl at (0.500, 0.245, 0.745).

As for the uncorrected formation energy: -0.78 eV per atom. The calculation puts the mass density at 4.60 g/cm3.

---

(4)
Computed, not measured: a relaxed NdThZnFe crystal at the PBE level of DFT.

The structure belongs to space group F-43m (No. 216); the cell edges are 7.184, 7.184 and 7.184 Å and the angles 90.00°, 90.00° and 90.00°. The inequivalent atoms are Nd at (0.000, 0.000, 0.000), Th at (0.000, 0.000, 0.500), Zn at (0.250, 0.250, 0.750) and Fe at (0.250, 0.250, 0.250).

As for the formation energy: 37 meV per atom. The calculation puts the mass density at 8.91 g/cm3.

---

(5)
Computed, not measured: a relaxed TiTl2GaTe5 crystal at the PBE level of DFT.

The structure belongs to space group Cmc2_1 (No. 36); the cell edges are 3.935, 20.187 and 14.863 Å and the angles 90.00°, 90.00° and 90.00°. The inequivalent atoms are Ti at (0.000, 0.208, 0.000), Tl at (0.000, 0.126, 0.646), Tl at (0.000, 0.130, 0.293), Ga at (0.000, 0.432, 0.390), Te at (0.000, 0.060, 0.008), Te at (0.000, 0.292, 0.629), Te at (0.000, 0.302, 0.360), Te at (0.000, 0.339, 0.974) and Te at (0.000, 0.499, 0.741).

As for the uncorrected formation energy: -0.39 eV per atom. The calculation puts the mass density at 6.55 g/cm3.

---

(6)
Computed, not measured: a relaxed TcSnPSe2 crystal at the PBE level of DFT.

The structure belongs to space group P4/mmm (No. 123); the cell edges are 4.688, 4.688 and 5.558 Å and the angles 90.00°, 90.00° and 90.00°. The inequivalent atoms are Tc at (0.000, 0.000, 0.000), Sn at (0.000, 0.000, 0.500), P at (0.500, 0.500, 0.500) and Se at (0.000, 0.500, 0.000).

As for the uncorrected formation energy: 0.59 eV per atom. The calculation puts the mass density at 5.51 g/cm3.

---

(7)
Computed, not measured: a relaxed BeNb3Pb crystal at the PBE level of DFT.

The structure belongs to space group Pm-3m (No. 221); the cell edges are 5.124, 5.124 and 5.124 Å and the angles 90.00°, 90.00° and 90.00°. The inequivalent atoms are Be at (0.000, 0.000, 0.000), Nb at (0.000, 0.500, 0.500) and Pb at (0.500, 0.500, 0.500).

The polymorph energy (0 for the lowest one) is 1.936 eV per atom. As for the formation energy: 2346 meV per atom. The calculation puts the mass density at 6.11 g/cm3.

---

(8)
Computed, not measured: a relaxed ThNp2As4 crystal at the PBE level of DFT.

The structure belongs to space group Cmcm (No. 63); the cell edges are 4.116, 13.507 and 13.116 Å and the angles 90.00°, 90.00° and 90.00°. The inequivalent atoms are Th at (0.000, 0.113, 0.250), Np at (0.000, 0.367, 0.062), As at (0.000, 0.000, 0.000), As at (0.000, 0.267, 0.628) and As at (0.000, 0.457, 0.250).

As for the formation energy: -660 meV per atom. The calculation puts the mass density at 9.16 g/cm3.

---

In order of appearance, total magnetic moment = 4.35 4.90 0.00 1.10 0.00 0.59 0.00 6.25 μB per formula unit.